1.
Compound: Re2SnI
Source: the Alexandria database
Functional: GGA-PBE
Structure: optimized geometry

Computed properties:
N(E_F) = 1.7270 states/eV/atom
formation energy from raw total energies = 1.84 eV per atom
energy above the lowest structure with this stoichiometry = 0.635 eV per atom
electronic total energy = -5.775 eV/atom

Structure (POSCAR):
```
Re2SnI
1.0
6.2023 0.0000 0.0000
0.0000 6.2023 0.0000
3.1012 3.1012 5.5682
Sn Re I
2 4 2
direct
0.2500 0.7500 0.5000 Sn
0.5000 0.5000 0.0000 Sn
0.3750 0.3628 0.7500 Re
0.8750 0.8872 0.7500 Re
0.6372 0.1250 0.2500 Re
0.1128 0.6250 0.2500 Re
0.7500 0.2500 0.5000 I
0.0000 0.0000 0.0000 I
```

***

2.
Compound: Y4MgRh
Source: the Alexandria database
Functional: GGA-PBE
Structure: optimized geometry

Computed properties:
N(E_F) = 1.4462 states/eV/atom
energy above the lowest structure with this stoichiometry = 0.902 eV per atom
electronic total energy = -5.297 eV/atom

Structure (POSCAR):
```
Y4MgRh
1.0
1.3958 -2.1212 5.6271
-1.9576 3.0255 5.0126
-4.4111 -2.4494 3.5573
Y Rh Mg
4 1 1
direct
0.3739 0.3739 0.3739 Y
0.8783 0.3739 0.3739 Y
0.3739 0.8783 0.3739 Y
0.3739 0.3739 0.8783 Y
0.0000 0.0000 0.0000 Rh
0.7500 0.7500 0.7500 Mg
```

***

It is found that the ρ values, taken in the order of the records, are 9.6; 4.8 g/cm3.